[1]
Below is a geometry-optimized Li2Cd3Hg3 structure, with properties calculated at the PBE-GGA level.

Calculated values
**N(E_F)**: 0.354 states/eV per atom
**ΔE to the lowest computed polymorph**: 18 meV/atom
**Energy**: -1.110 eV per atom
**ΔH_f (0 K)**: -175 meV per atom
**Volume**: 21.27 Å³/atom

```
data_Li2Cd3Hg3
_cell_length_a 4.523
_cell_length_b 4.550
_cell_length_c 8.268
_cell_angle_alpha 90.00
_cell_angle_beta 90.00
_cell_angle_gamma 90.00
_space_group_name_H-M_alt 'P m m m'
_space_group_IT_number 47
loop_
_space_group_symop_operation_xyz
'x,y,z'
'-x,-y,-z'
'-x,-y,z'
'x,y,-z'
'x,-y,-z'
'-x,y,z'
'-x,y,-z'
'x,-y,z'
loop_
_atom_site_label
_atom_site_type_symbol
_atom_site_fract_x
_atom_site_fract_y
_atom_site_fract_z
Li1 Li 0.000 0.000 0.244
Cd1 Cd 0.000 0.500 0.500
Cd2 Cd 0.500 0.500 0.251
Hg1 Hg 0.000 0.500 0.000
Hg2 Hg 0.500 0.000 0.000
Hg3 Hg 0.500 0.000 0.500
```

---

[2]
Below is a geometry-optimized LiSc2AlO5 structure, with properties calculated at the PBE-GGA level.

Calculated values
**N(E_F)**: 0.000 states/eV per atom
**Energy**: -7.800 eV per atom
**Volume**: 10.15 Å³/atom
**Formation energy from raw total energies**: -3.0098 eV/atom

```
data_LiSc2AlO5
_cell_length_a 3.155
_cell_length_b 11.931
_cell_length_c 9.702
_cell_angle_alpha 90.00
_cell_angle_beta 90.00
_cell_angle_gamma 90.00
_space_group_name_H-M_alt 'C m c 21'
_space_group_IT_number 36
loop_
_space_group_symop_operation_xyz
'x,y,z'
'-x,-y,z+1/2'
'-x,y,z'
'x,-y,z+1/2'
'x+1/2,y+1/2,z'
'-x+1/2,-y+1/2,z+1/2'
'-x+1/2,y+1/2,z'
'x+1/2,-y+1/2,z+1/2'
loop_
_atom_site_label
_atom_site_type_symbol
_atom_site_fract_x
_atom_site_fract_y
_atom_site_fract_z
Li1 Li 0.000 0.230 0.000
Sc1 Sc 0.000 0.104 0.693
Sc2 Sc 0.000 0.160 0.265
Al1 Al 0.000 0.463 0.472
O1 O 0.000 0.065 0.057
O2 O 0.000 0.274 0.665
O3 O 0.000 0.318 0.366
O4 O 0.000 0.391 0.053
O5 O 0.000 0.474 0.801
```

---

[3]
Below is a geometry-optimized BeTl2Se structure, with properties calculated at the PBE-GGA level.

Calculated values
**N(E_F)**: 0.440 states/eV per atom
**ΔE to the lowest computed polymorph**: 663 meV/atom
**Energy**: -2.513 eV per atom
**Volume**: 24.85 Å³/atom
**Formation energy from raw total energies**: 0.4725 eV/atom

```
data_BeTl2Se
_cell_length_a 7.784
_cell_length_b 8.299
_cell_length_c 3.077
_cell_angle_alpha 90.00
_cell_angle_beta 90.00
_cell_angle_gamma 90.00
_space_group_name_H-M_alt 'C m m m'
_space_group_IT_number 65
_space_group_name_Hall '-C 2 2'
loop_
_atom_site_label
_atom_site_type_symbol
_atom_site_fract_x
_atom_site_fract_y
_atom_site_fract_z
Be1 Be 0.000 0.000 0.000
Tl1 Tl 0.250 0.250 0.500
Se1 Se 0.000 0.500 0.000
```

---

[4]
Below is a geometry-optimized NiHgSe2 structure, with properties calculated at the PBE-GGA level.

Calculated values
**N(E_F)**: 0.997 states/eV per atom
**Energy**: -3.254 eV per atom
**Volume**: 25.14 Å³/atom
**Formation energy from raw total energies**: 0.0092 eV/atom

```
data_NiHgSe2
_cell_length_a 4.801
_cell_length_b 3.882
_cell_length_c 5.433
_cell_angle_alpha 90.00
_cell_angle_beta 96.73
_cell_angle_gamma 90.00
_space_group_name_H-M_alt 'P 1 m 1'
_space_group_IT_number 6
loop_
_space_group_symop_operation_xyz
'x,y,z'
'x,-y,z'
loop_
_atom_site_label
_atom_site_type_symbol
_atom_site_fract_x
_atom_site_fract_y
_atom_site_fract_z
Ni1 Ni 0.000 0.000 0.000
Hg1 Hg 0.644 0.500 0.162
Se1 Se 0.333 0.000 0.332
Se2 Se 0.979 0.500 0.781
```

---

[5]
Below is a geometry-optimized MnTlCd2Br8 structure, with properties calculated at the PBE-GGA level.

Calculated values
**Energy**: -2.964 eV per atom
**Volume**: 33.93 Å³/atom
**Formation energy from raw total energies**: -0.7348 eV/atom

```
data_MnTlCd2Br8
_cell_length_a 6.677
_cell_length_b 6.765
_cell_length_c 9.609
_cell_angle_alpha 83.06
_cell_angle_beta 88.57
_cell_angle_gamma 70.94
_space_group_name_H-M_alt 'P -1'
_space_group_IT_number 2
loop_
_space_group_symop_operation_xyz
'x,y,z'
'-x,-y,-z'
loop_
_atom_site_label
_atom_site_type_symbol
_atom_site_fract_x
_atom_site_fract_y
_atom_site_fract_z
Mn1 Mn 0.000 0.000 0.000
Tl1 Tl 0.000 0.000 0.500
Cd1 Cd 0.360 0.372 0.780
Br1 Br 0.195 0.745 0.198
Br2 Br 0.233 0.214 0.022
Br3 Br 0.272 0.778 0.805
Br4 Br 0.313 0.297 0.533
```

---

[6]
Below is a geometry-optimized Ac6Ge3Ru structure, with properties calculated at the PBE-GGA level.

Calculated values
**N(E_F)**: 0.840 states/eV per atom
**Energy**: -5.178 eV per atom
**ΔH_f (0 K)**: -400 meV per atom
**Volume**: 36.93 Å³/atom

```
data_Ac6Ge3Ru
_cell_length_a 13.9085
_cell_length_b 13.9085
_cell_length_c 13.2258
_cell_angle_alpha 90.00
_cell_angle_beta 90.00
_cell_angle_gamma 120.00
_space_group_name_H-M_alt 'R -3'
_space_group_IT_number 148
_space_group_name_Hall '-R 3'
loop_
_atom_site_label
_atom_site_type_symbol
_atom_site_fract_x
_atom_site_fract_y
_atom_site_fract_z
Ac1 Ac 0.0354 0.8340 0.3938
Ac2 Ac 0.0460 0.8440 0.8876
Ge1 Ge 0.0539 0.6120 0.3239
Ru1 Ru 0.0000 0.0000 0.0000
Ru2 Ru 0.0000 0.0000 0.5000
```

---

[7]
Below is a geometry-optimized AcPuNiRh structure, with properties calculated at the PBE-GGA level.

Calculated values
**N(E_F)**: 3.256 states/eV per atom
**Energy**: -8.105 eV per atom
**ΔH_f (0 K)**: -212 meV per atom
**Volume**: 22.51 Å³/atom

```
data_AcPuNiRh
_cell_length_a 7.115
_cell_length_b 7.115
_cell_length_c 7.115
_cell_angle_alpha 90.00
_cell_angle_beta 90.00
_cell_angle_gamma 90.00
_space_group_name_H-M_alt 'F -4 3 m'
_space_group_IT_number 216
_space_group_name_Hall 'F -4 2 3'
loop_
_atom_site_label
_atom_site_type_symbol
_atom_site_fract_x
_atom_site_fract_y
_atom_site_fract_z
Ac1 Ac 0.000 0.000 0.000
Pu1 Pu 0.000 0.000 0.500
Ni1 Ni 0.250 0.250 0.750
Rh1 Rh 0.250 0.250 0.250
```

---

[8]
Below is a geometry-optimized Tb2TmSe2S2 structure, with properties calculated at the PBE-GGA level.

Calculated values
**N(E_F)**: 0.347 states/eV per atom
**Energy**: -5.673 eV per atom
**Volume**: 25.96 Å³/atom
**Formation energy from raw total energies**: -1.5367 eV/atom

```
data_Tb2TmSe2S2
_cell_length_a 5.006
_cell_length_b 5.006
_cell_length_c 14.503
_cell_angle_alpha 90.00
_cell_angle_beta 90.00
_cell_angle_gamma 90.00
_space_group_name_H-M_alt 'I 4/m m m'
_space_group_IT_number 139
_space_group_name_Hall '-I 4 2'
loop_
_atom_site_label
_atom_site_type_symbol
_atom_site_fract_x
_atom_site_fract_y
_atom_site_fract_z
Tb1 Tb 0.000 0.000 0.120
Tm1 Tm 0.000 0.000 0.500
Se1 Se 0.000 0.000 0.311
S1 S 0.000 0.500 0.000
```

---

[9]
Below is a geometry-optimized Mg3Bi3Pb structure, with properties calculated at the PBE-GGA level.

Calculated values
**N(E_F)**: 0.727 states/eV per atom
**ΔE to the lowest computed polymorph**: 0 meV/atom
**Energy**: -2.952 eV per atom
**ΔH_f (0 K)**: -75 meV per atom
**Volume**: 31.74 Å³/atom

```
data_Mg3Bi3Pb
_cell_length_a 8.1989
_cell_length_b 8.1989
_cell_length_c 22.9016
_cell_angle_alpha 90.00
_cell_angle_beta 90.00
_cell_angle_gamma 120.00
_space_group_name_H-M_alt 'R -3'
_space_group_IT_number 148
_space_group_name_Hall '-R 3'
loop_
_atom_site_label
_atom_site_type_symbol
_atom_site_fract_x
_atom_site_fract_y
_atom_site_fract_z
Mg1 Mg 0.0108 0.3752 0.3736
Bi1 Bi 0.0057 0.2961 0.5743
Pb1 Pb 0.0000 0.0000 0.1655
```

---

[10]
Below is a geometry-optimized V3Os2Pt2 structure, with properties calculated at the PBE-GGA level.

Calculated values
**N(E_F)**: 1.233 states/eV per atom
**Energy**: -9.042 eV per atom
**ΔH_f (0 K)**: -199 meV per atom
**Volume**: 14.57 Å³/atom

```
data_V3Os2Pt2
_cell_length_a 4.030
_cell_length_b 18.879
_cell_length_c 2.682
_cell_angle_alpha 90.00
_cell_angle_beta 90.00
_cell_angle_gamma 90.00
_space_group_name_H-M_alt 'C m m m'
_space_group_IT_number 65
_space_group_name_Hall '-C 2 2'
loop_
_atom_site_label
_atom_site_type_symbol
_atom_site_fract_x
_atom_site_fract_y
_atom_site_fract_z
V1 V 0.000 0.000 0.000
V2 V 0.000 0.151 0.000
Os1 Os 0.000 0.289 0.500
Pt1 Pt 0.000 0.428 0.500
```

---

[11]
Below is a geometry-optimized Ba6Ag2Rh structure, with properties calculated at the PBE-GGA level.

Calculated values
**N(E_F)**: 0.719 states/eV per atom
**Energy**: -2.948 eV per atom
**ΔH_f (0 K)**: -216 meV per atom
**Volume**: 45.24 Å³/atom

```
data_Ba6Ag2Rh
_cell_length_a 7.855
_cell_length_b 8.892
_cell_length_c 13.866
_cell_angle_alpha 90.00
_cell_angle_beta 122.77
_cell_angle_gamma 90.00
_space_group_name_H-M_alt 'P 1 21/c 1'
_space_group_IT_number 14
loop_
_space_group_symop_operation_xyz
'x,y,z'
'-x,-y,-z'
'-x,y+1/2,-z+1/2'
'x,-y+1/2,z+1/2'
loop_
_atom_site_label
_atom_site_type_symbol
_atom_site_fract_x
_atom_site_fract_y
_atom_site_fract_z
Ba1 Ba 0.104 0.039 0.244
Ba2 Ba 0.223 0.695 0.064
Ba3 Ba 0.384 0.170 0.062
Ag1 Ag 0.307 0.113 0.752
Rh1 Rh 0.000 0.000 0.000
```

---

[12]
Below is a geometry-optimized NaAlTe2 structure, with properties calculated at the PBE-GGA level.

Calculated values
**N(E_F)**: 0.000 states/eV per atom
**Energy**: -3.497 eV per atom
**Volume**: 32.80 Å³/atom
**Formation energy from raw total energies**: -0.6611 eV/atom

```
data_NaAlTe2
_cell_length_a 11.775
_cell_length_b 11.779
_cell_length_c 15.421
_cell_angle_alpha 90.00
_cell_angle_beta 101.03
_cell_angle_gamma 90.00
_space_group_name_H-M_alt 'C 1 2/c 1'
_space_group_IT_number 15
loop_
_space_group_symop_operation_xyz
'x,y,z'
'-x,-y,-z'
'-x,y,-z+1/2'
'x,-y,z+1/2'
'x+1/2,y+1/2,z'
'-x+1/2,-y+1/2,-z'
'-x+1/2,y+1/2,-z+1/2'
'x+1/2,-y+1/2,z+1/2'
loop_
_atom_site_label
_atom_site_type_symbol
_atom_site_fract_x
_atom_site_fract_y
_atom_site_fract_z
Na1 Na 0.032 0.184 0.379
Na2 Na 0.221 0.438 0.135
Al1 Al 0.098 0.189 0.650
Al2 Al 0.148 0.436 0.849
Te1 Te 0.000 0.053 0.750
Te2 Te 0.000 0.427 0.250
Te3 Te 0.053 0.313 0.957
Te4 Te 0.198 0.061 0.546
Te5 Te 0.240 0.187 0.250
```

---

[13]
Below is a geometry-optimized CsTl2GeAs structure, with properties calculated at the PBE-GGA level.

Calculated values
**N(E_F)**: 0.281 states/eV per atom
**Energy**: -2.535 eV per atom
**ΔH_f (0 K)**: 436 meV per atom
**Volume**: 45.00 Å³/atom

```
data_CsTl2GeAs
_cell_length_a 5.615
_cell_length_b 5.615
_cell_length_c 7.136
_cell_angle_alpha 90.00
_cell_angle_beta 90.00
_cell_angle_gamma 90.00
_space_group_name_H-M_alt 'P 4/m m m'
_space_group_IT_number 123
_space_group_name_Hall '-P 4 2'
loop_
_atom_site_label
_atom_site_type_symbol
_atom_site_fract_x
_atom_site_fract_y
_atom_site_fract_z
Cs1 Cs 0.000 0.000 0.000
Tl1 Tl 0.000 0.500 0.500
Ge1 Ge 0.500 0.500 0.000
As1 As 0.000 0.000 0.500
```

---

[14]
Below is a geometry-optimized Sr2HfCrBi structure, with properties calculated at the PBE-GGA level.

Calculated values
**N(E_F)**: 0.949 states/eV per atom
**Energy**: -4.841 eV per atom
**ΔH_f (0 K)**: 523 meV per atom
**Volume**: 33.41 Å³/atom

```
data_Sr2HfCrBi
_cell_length_a 5.847
_cell_length_b 5.847
_cell_length_c 4.886
_cell_angle_alpha 90.00
_cell_angle_beta 90.00
_cell_angle_gamma 90.00
_space_group_name_H-M_alt 'P 4/m m m'
_space_group_IT_number 123
_space_group_name_Hall '-P 4 2'
loop_
_atom_site_label
_atom_site_type_symbol
_atom_site_fract_x
_atom_site_fract_y
_atom_site_fract_z
Sr1 Sr 0.000 0.500 0.000
Hf1 Hf 0.000 0.000 0.500
Cr1 Cr 0.000 0.000 0.000
Bi1 Bi 0.500 0.500 0.500
```

---

[15]
Below is a geometry-optimized La3CrAu structure, with properties calculated at the PBE-GGA level.

Calculated values
**N(E_F)**: 1.279 states/eV per atom
**Energy**: -5.448 eV per atom
**ΔH_f (0 K)**: 89 meV per atom
**Volume**: 28.69 Å³/atom

```
data_La3CrAu
_cell_length_a 5.235
_cell_length_b 5.235
_cell_length_c 5.235
_cell_angle_alpha 90.00
_cell_angle_beta 90.00
_cell_angle_gamma 90.00
_space_group_name_H-M_alt 'P m -3 m'
_space_group_IT_number 221
_space_group_name_Hall '-P 4 2 3'
loop_
_atom_site_label
_atom_site_type_symbol
_atom_site_fract_x
_atom_site_fract_y
_atom_site_fract_z
La1 La 0.000 0.000 0.500
Cr1 Cr 0.000 0.000 0.000
Au1 Au 0.500 0.500 0.500
```

---

[16]
Below is a geometry-optimized Ca3ZnNi2 structure, with properties calculated at the PBE-GGA level.

Calculated values
**N(E_F)**: 0.657 states/eV per atom
**ΔE to the lowest computed polymorph**: 0 meV/atom
**Energy**: -3.277 eV per atom
**ΔH_f (0 K)**: -137 meV per atom
**Volume**: 23.43 Å³/atom

```
data_Ca3ZnNi2
_cell_length_a 11.595
_cell_length_b 4.186
_cell_length_c 11.589
_cell_angle_alpha 90.00
_cell_angle_beta 90.00
_cell_angle_gamma 90.00
_space_group_name_H-M_alt 'P n m a'
_space_group_IT_number 62
loop_
_space_group_symop_operation_xyz
'x,y,z'
'-x,-y,-z'
'-x+1/2,-y,z+1/2'
'x+1/2,y,-z+1/2'
'x+1/2,-y+1/2,-z+1/2'
'-x+1/2,y+1/2,z+1/2'
'-x,y+1/2,-z'
'x,-y+1/2,z'
loop_
_atom_site_label
_atom_site_type_symbol
_atom_site_fract_x
_atom_site_fract_y
_atom_site_fract_z
Ca1 Ca 0.058 0.250 0.119
Ca2 Ca 0.122 0.750 0.562
Ca3 Ca 0.196 0.250 0.809
Zn1 Zn 0.129 0.250 0.371
Ni1 Ni 0.037 0.750 0.316
Ni2 Ni 0.198 0.750 0.992
```

---

[17]
Below is a geometry-optimized CaCd3Se structure, with properties calculated at the PBE-GGA level.

Calculated values
**N(E_F)**: 0.463 states/eV per atom
**ΔE to the lowest computed polymorph**: 0 meV/atom
**Energy**: -1.524 eV per atom
**Volume**: 32.60 Å³/atom
**Formation energy from raw total energies**: 0.1223 eV/atom

```
data_CaCd3Se
_cell_length_a 5.462
_cell_length_b 5.462
_cell_length_c 5.462
_cell_angle_alpha 90.00
_cell_angle_beta 90.00
_cell_angle_gamma 90.00
_space_group_name_H-M_alt 'P m -3 m'
_space_group_IT_number 221
_space_group_name_Hall '-P 4 2 3'
loop_
_atom_site_label
_atom_site_type_symbol
_atom_site_fract_x
_atom_site_fract_y
_atom_site_fract_z
Ca1 Ca 0.000 0.000 0.000
Cd1 Cd 0.000 0.500 0.500
Se1 Se 0.500 0.500 0.500
```

---

[18]
Below is a geometry-optimized Nd5SmTm12 structure, with properties calculated at the PBE-GGA level.

Calculated values
**N(E_F)**: 1.769 states/eV per atom
**Energy**: -4.468 eV per atom
**ΔH_f (0 K)**: 100 meV per atom
**Volume**: 31.94 Å³/atom

```
data_Nd5SmTm12
_cell_length_a 11.369
_cell_length_b 17.178
_cell_length_c 5.888
_cell_angle_alpha 90.00
_cell_angle_beta 90.00
_cell_angle_gamma 90.00
_space_group_name_H-M_alt 'C 1 2/m 1'
_space_group_IT_number 12
loop_
_space_group_symop_operation_xyz
'x,y,z'
'-x,-y,-z'
'-x,y,-z'
'x,-y,z'
'x+1/2,y+1/2,z'
'-x+1/2,-y+1/2,-z'
'-x+1/2,y+1/2,-z'
'x+1/2,-y+1/2,z'
loop_
_atom_site_label
_atom_site_type_symbol
_atom_site_fract_x
_atom_site_fract_y
_atom_site_fract_z
Nd1 Nd 0.000 0.000 0.000
Nd2 Nd 0.000 0.166 0.500
Nd3 Nd 0.000 0.334 0.000
Sm1 Sm 0.000 0.500 0.500
Tm1 Tm 0.177 0.333 0.550
Tm2 Tm 0.177 0.500 0.947
Tm3 Tm 0.178 0.167 0.950
Tm4 Tm 0.179 0.000 0.553
```

---

[19]
Below is a geometry-optimized NpGe2Os structure, with properties calculated at the PBE-GGA level.

Calculated values
**N(E_F)**: 2.117 states/eV per atom
**Energy**: -8.467 eV per atom
**ΔH_f (0 K)**: -115 meV per atom
**Volume**: 18.80 Å³/atom

```
data_NpGe2Os
_cell_length_a 6.701
_cell_length_b 4.357
_cell_length_c 10.306
_cell_angle_alpha 90.00
_cell_angle_beta 90.00
_cell_angle_gamma 90.00
_space_group_name_H-M_alt 'P n m a'
_space_group_IT_number 62
loop_
_space_group_symop_operation_xyz
'x,y,z'
'-x,-y,-z'
'-x+1/2,-y,z+1/2'
'x+1/2,y,-z+1/2'
'x+1/2,-y+1/2,-z+1/2'
'-x+1/2,y+1/2,z+1/2'
'-x,y+1/2,-z'
'x,-y+1/2,z'
loop_
_atom_site_label
_atom_site_type_symbol
_atom_site_fract_x
_atom_site_fract_y
_atom_site_fract_z
Np1 Np 0.199 0.250 0.132
Ge1 Ge 0.107 0.250 0.831
Ge2 Ge 0.213 0.250 0.419
Os1 Os 0.012 0.750 0.393
```